A plane-wave DFT calculation with PBE-GGA was carried out for a geometry-optimized RbNaSN2 structure.

E above lowest polymorph = 0.0 kJ/mol of atoms
N(E_F) = 0.31 states/eV/atom
formation energy from raw total energies = 1337.9 meV per atom
magnetization = 6.01 Bohr magnetons per cell

Unit cell a=4.960 b=4.960 c=5.305 alpha=90.00 beta=90.00 gamma=90.00
Fractional positions:
Rb (0.000, 0.000, 0.000)
Na (0.500, 0.500, 0.500)
S (0.500, 0.500, 0.000)
N (0.000, 0.500, 0.500)
N (0.500, 0.000, 0.500)